(1)
PBE Lu2Ta2O5, optimized geometry; electronic total energy = -8.69 eV/atom; V = 12.7 Å³ per atom; offset from the most stable computed form = 0.10 eV per formula unit; symmetry = P4/mmm, No. 123
1.0
3.4414 0.0000 0.0000
0.0000 3.4414 0.0000
0.0000 0.0000 9.6851
Lu Ta O
2 2 5
Cartesian
0.0000 0.0000 2.2669
0.0000 0.0000 7.4182
1.7207 1.7207 0.0000
1.7207 1.7207 4.8426
0.0000 0.0000 0.0000
0.0000 1.7207 3.6355
0.0000 1.7207 6.0496
1.7207 0.0000 3.6355
1.7207 0.0000 6.0496


(2)
PBE Lu2Ta2O5, optimized geometry; electronic total energy = -8.70 eV/atom; V = 12.3 Å³ per atom; offset from the most stable computed form = 0.00 eV per formula unit; symmetry = P4/mmm, No. 123
1.0
3.9479 0.0000 0.0000
0.0000 3.9479 0.0000
0.0000 0.0000 7.1205
Lu Ta O
2 2 5
Cartesian
0.0000 0.0000 0.0000
0.0000 0.0000 3.5602
1.9740 1.9740 1.3867
1.9740 1.9740 5.7338
0.0000 1.9740 1.8649
0.0000 1.9740 5.2556
1.9740 0.0000 1.8649
1.9740 0.0000 5.2556
1.9740 1.9740 3.5602


(3)
PBE LuTa2O4, optimized geometry; electronic total energy = -9.00 eV/atom; V = 12.9 Å³ per atom; symmetry = Fd-3m, No. 227
1.0
0.0000 4.4826 4.4826
4.4826 0.0000 4.4826
4.4826 4.4826 0.0000
Lu Ta O
2 4 8
Cartesian
1.1207 1.1207 1.1207
7.8446 7.8446 7.8446
4.4826 2.2413 2.2413
2.2413 4.4826 2.2413
2.2413 2.2413 4.4826
4.4826 4.4826 4.4826
2.2968 2.2968 2.2968
4.4271 4.4271 2.2968
4.4271 2.2968 4.4271
6.6684 4.5382 4.5382
2.2968 4.4271 4.4271
4.5382 6.6684 4.5382
4.5382 4.5382 6.6684
6.6684 6.6684 6.6684


(4)
PBE Lu2Tc2O5, optimized geometry; electronic total energy = -7.76 eV/atom; V = 12.7 Å³ per atom; offset from the most stable computed form = 1.48 eV per formula unit; symmetry = P4/mmm, No. 123
1.0
3.5408 0.0000 0.0000
0.0000 3.5408 0.0000
0.0000 0.0000 9.1449
Lu Tc O
2 2 5
Cartesian
0.0000 0.0000 2.2108
0.0000 0.0000 6.9341
1.7704 1.7704 0.0000
1.7704 1.7704 4.5725
0.0000 0.0000 0.0000
0.0000 1.7704 3.3906
0.0000 1.7704 5.7543
1.7704 0.0000 3.3906
1.7704 0.0000 5.7543


(5)
PBE Lu2Tc2O5, optimized geometry; electronic total energy = -7.93 eV/atom; V = 11.5 Å³ per atom; offset from the most stable computed form = 0.00 eV per formula unit; symmetry = P4/mmm, No. 123
1.0
3.9323 0.0000 0.0000
0.0000 3.9323 0.0000
0.0000 0.0000 6.6813
Lu Tc O
2 2 5
Cartesian
0.0000 0.0000 0.0000
0.0000 0.0000 3.3407
1.9661 1.9661 1.1543
1.9661 1.9661 5.5270
0.0000 1.9661 1.5630
0.0000 1.9661 5.1183
1.9661 0.0000 1.5630
1.9661 0.0000 5.1183
1.9661 1.9661 3.3407


(6)
PBE LuTc2O4, optimized geometry; electronic total energy = -7.98 eV/atom; V = 12.5 Å³ per atom; symmetry = Fd-3m, No. 227
1.0
0.0000 4.4374 4.4374
4.4374 0.0000 4.4374
4.4374 4.4374 0.0000
Lu Tc O
2 4 8
Cartesian
1.1093 1.1093 1.1093
7.7654 7.7654 7.7654
4.4374 2.2187 2.2187
2.2187 4.4374 2.2187
2.2187 2.2187 4.4374
4.4374 4.4374 4.4374
2.3023 2.3023 2.3023
4.3538 4.3538 2.3023
4.3538 2.3023 4.3538
6.5725 4.5210 4.5210
2.3023 4.3538 4.3538
4.5210 6.5725 4.5210
4.5210 4.5210 6.5725
6.5725 6.5725 6.5725